{
  "formula": "NaEu3Ru",
  "functional": "GGA-PBE",
  "state": "optimized geometry",
  "lattice": [[-4.8580, 0.6571, 2.7510], [-1.0190, -5.5070, -0.4841], [2.6384, -0.9171, 4.8782]],
  "species": ["Eu", "Eu", "Eu", "Ru", "Na"],
  "fractional_positions": [[0.0000, 0.5000, 0.0000], [0.0000, 0.0000, 0.5000], [0.5000, 0.0000, 0.0000], [0.0000, 0.0000, 0.0000], [0.5000, 0.5000, 0.5000]],
  "magmom_total_mub_per_fu": 21.2,
  "dos_at_fermi_per_ev_cell": 16.7,
  "final_energy_ev_per_atom": -8.224
}